A geometry-optimized LaNiIrO6 structure, computed with GGA+U.

Cell lengths 5.248, 5.248, 5.122 Å; angles 90.00, 90.00, 60.00 degrees
Each line ends with the local moment (μB).
Atoms (fractional coordinates):
La 0.000 0.000 0.000  0.05
Ni 0.667 0.667 0.500  1.74
Ir 0.333 0.333 0.500  0.84
O 0.019 0.358 0.288  0.13
O 0.358 0.019 0.711  0.13
O 0.623 0.358 0.711  0.13
O 0.019 0.623 0.711  0.13
O 0.358 0.623 0.289  0.13
O 0.623 0.019 0.288  0.13

Properties
V   122.15 Å³ per cell
Raw total energy   -59.4 eV per formula unit